No. 1
# CdCu2Pd2 GGA-PBE optimized geometry
data_CdCu2Pd2
_chemical_formula_sum 'Cd1 Cu2 Pd2'
_cell_length_a 2.889
_cell_length_b 2.914
_cell_length_c 9.365
_cell_angle_alpha 81.05
_cell_angle_beta 90.00
_cell_angle_gamma 90.00
_space_group_name_H-M_alt 'P 1'
_space_group_IT_number 1
_space_group_name_Hall 'P 1'
loop_
_atom_site_label
_atom_site_type_symbol
_atom_site_fract_x
_atom_site_fract_y
_atom_site_fract_z
Cd1 Cd 0.000 0.000 0.000
Cu1 Cu 0.000 0.197 0.606
Cu2 Cu 0.000 0.803 0.394
Pd1 Pd 0.500 0.392 0.216
Pd2 Pd 0.500 0.608 0.784
# * calculated total energy: -3.980 eV/atom
# * magnetic moment: 0.0 μB/cell
# * relative energy among the computed polymorphs: 38.8 meV per atom
# * SG: Cmmm
# * energy of formation: -0.082 eV per atom


No. 2
# CdCu2Pd2 GGA-PBE optimized geometry
data_CdCu2Pd2
_chemical_formula_sum 'Cd1 Cu2 Pd2'
_cell_length_a 3.485
_cell_length_b 3.485
_cell_length_c 7.114
_cell_angle_alpha 75.82
_cell_angle_beta 75.82
_cell_angle_gamma 90.00
_space_group_name_H-M_alt 'P 1'
_space_group_IT_number 1
_space_group_name_Hall 'P 1'
loop_
_atom_site_label
_atom_site_type_symbol
_atom_site_fract_x
_atom_site_fract_y
_atom_site_fract_z
Cu1 Cu 0.750 0.250 0.500
Cu2 Cu 0.250 0.750 0.500
Pd1 Pd 0.395 0.395 0.211
Pd2 Pd 0.605 0.605 0.789
Cd1 Cd 0.000 0.000 0.000
# * calculated total energy: -3.922 eV/atom
# * magnetic moment: 0.0 μB/cell
# * relative energy among the computed polymorphs: 96.7 meV per atom
# * SG: I4/mmm
# * energy of formation: -0.024 eV per atom


No. 3
# CdCu4Pd5 GGA-PBE optimized geometry
data_CdCu4Pd5
_chemical_formula_sum 'Cd1 Cu4 Pd5'
_cell_length_a 3.064
_cell_length_b 3.064
_cell_length_c 15.442
_cell_angle_alpha 90.00
_cell_angle_beta 90.00
_cell_angle_gamma 90.00
_space_group_name_H-M_alt 'P 1'
_space_group_IT_number 1
_space_group_name_Hall 'P 1'
loop_
_atom_site_label
_atom_site_type_symbol
_atom_site_fract_x
_atom_site_fract_y
_atom_site_fract_z
Cd1 Cd 0.000 0.000 0.000
Cu1 Cu 0.000 0.000 0.215
Cu2 Cu 0.000 0.000 0.405
Cu3 Cu 0.000 0.000 0.595
Cu4 Cu 0.000 0.000 0.785
Pd1 Pd 0.500 0.500 0.118
Pd2 Pd 0.500 0.500 0.309
Pd3 Pd 0.500 0.500 0.500
Pd4 Pd 0.500 0.500 0.691
Pd5 Pd 0.500 0.500 0.882
# * calculated total energy: -4.511 eV/atom
# * magnetic moment: 0.0 μB/cell
# * SG: P4/mmm
# * energy of formation: -0.184 eV per atom


Q: The lowest energy of formation belongs to which entry?
A: CdCu4Pd5